1.
Material: YErCu2As4
Method: DFT, PBE
State: optimized geometry

Properties
crystal system	tetragonal
M_tot	0.00	μB per formula unit
E	-5.4500	eV per atom
SG	P4mm (99)

Structure (POSCAR):
```
YErCu2As4
1.0
3.901 0.000 0.000
0.000 3.901 0.000
0.000 0.000 9.824
As Y Cu Er
4 1 2 1
Direct
0.000 0.500 0.998
0.000 0.000 0.663
0.500 0.000 0.998
0.500 0.500 0.340
0.000 0.000 0.236
0.500 0.000 0.501
0.000 0.500 0.501
0.500 0.500 0.763
```

2.
Material: Na3Cu3As2F12
Method: DFT, PBE
State: optimized geometry

Properties
crystal system	cubic
E	-4.1709	eV per atom
SG	Ia-3d (230)

Structure (POSCAR):
```
Na3Cu3As2F12
1.0
-6.258 6.258 6.258
6.258 -6.258 6.258
6.258 6.258 -6.258
Na Cu F As
12 12 48 8
Direct
0.750 0.125 0.375
0.375 0.125 0.250
0.625 0.875 0.750
0.125 0.250 0.375
0.250 0.875 0.625
0.375 0.750 0.125
0.125 0.375 0.750
0.875 0.750 0.625
0.625 0.250 0.875
0.250 0.375 0.125
0.875 0.625 0.250
0.750 0.625 0.875
0.125 0.750 0.875
0.375 0.625 0.750
0.625 0.375 0.250
0.250 0.125 0.875
0.250 0.625 0.375
0.875 0.250 0.125
0.625 0.750 0.375
0.125 0.875 0.250
0.750 0.875 0.125
0.375 0.250 0.625
0.875 0.125 0.750
0.750 0.375 0.625
0.094 0.880 0.423
0.120 0.577 0.906
0.880 0.423 0.094
0.594 0.923 0.380
0.423 0.829 0.544
0.671 0.094 0.715
0.077 0.956 0.671
0.215 0.594 0.171
0.671 0.077 0.956
0.594 0.171 0.215
0.329 0.906 0.285
0.077 0.620 0.406
0.285 0.329 0.906
0.715 0.544 0.620
0.829 0.785 0.406
0.094 0.715 0.671
0.544 0.423 0.829
0.620 0.406 0.077
0.956 0.785 0.880
0.715 0.671 0.094
0.380 0.594 0.923
0.577 0.906 0.120
0.785 0.406 0.829
0.171 0.456 0.577
0.044 0.215 0.120
0.406 0.829 0.785
0.285 0.456 0.380
0.215 0.120 0.044
0.923 0.380 0.594
0.923 0.044 0.329
0.620 0.715 0.544
0.880 0.956 0.785
0.044 0.329 0.923
0.423 0.094 0.880
0.577 0.171 0.456
0.380 0.285 0.456
0.120 0.044 0.215
0.456 0.380 0.285
0.544 0.620 0.715
0.829 0.544 0.423
0.785 0.880 0.956
0.906 0.120 0.577
0.171 0.215 0.594
0.329 0.923 0.044
0.406 0.077 0.620
0.906 0.285 0.329
0.456 0.577 0.171
0.956 0.671 0.077
0.000 0.500 0.500
0.500 0.000 0.500
0.000 0.000 0.000
0.000 0.000 0.500
0.500 0.500 0.000
0.000 0.500 0.000
0.500 0.000 0.000
0.500 0.500 0.500
```

3.
Material: FeCu5As2
Method: DFT, PBE
State: optimized geometry

Properties
crystal system	tetragonal
M_tot	2.88	μB per formula unit
E	-4.3120	eV per atom
SG	P4/mmm (123)

Structure (POSCAR):
```
FeCu5As2
1.0
4.113 0.000 0.000
0.000 4.113 0.000
0.000 0.000 6.187
Cu As Fe
5 2 1
Direct
0.000 0.500 0.257
0.500 0.000 0.743
0.500 0.000 0.257
0.000 0.500 0.743
0.000 0.000 0.500
0.000 0.000 0.000
0.500 0.500 0.500
0.500 0.500 0.000
```